Computed, not measured: a relaxed CePmLuHf crystal at the PBE level of DFT.

Output
formation energy	242	meV/atom
theoretical density	9.4	g cm⁻³
space group	F-43m (216)

Lattice parameters (Å, degrees): 7.673 7.673 7.673 90.00 90.00 90.00
Fractional coordinates of all 16 atoms:
Ce (0.000, 0.000, 0.000)
Ce (0.000, 0.500, 0.500)
Ce (0.500, 0.000, 0.500)
Ce (0.500, 0.500, 0.000)
Pm (0.000, 0.000, 0.500)
Pm (0.000, 0.500, 0.000)
Pm (0.500, 0.000, 0.000)
Pm (0.500, 0.500, 0.500)
Lu (0.250, 0.250, 0.250)
Lu (0.250, 0.750, 0.750)
Lu (0.750, 0.250, 0.750)
Lu (0.750, 0.750, 0.250)
Hf (0.250, 0.250, 0.750)
Hf (0.250, 0.750, 0.250)
Hf (0.750, 0.250, 0.250)
Hf (0.750, 0.750, 0.750)

=====

Computed, not measured: a relaxed CeLuPuHf crystal at the PBE level of DFT.

Output
formation energy	276	meV/atom
theoretical density	11.6	g cm⁻³
space group	F-43m (216)

Lattice parameters (Å, degrees): 7.507 7.507 7.507 90.00 90.00 90.00
Fractional coordinates of all 16 atoms:
Ce (0.000, 0.000, 0.000)
Ce (0.000, 0.500, 0.500)
Ce (0.500, 0.000, 0.500)
Ce (0.500, 0.500, 0.000)
Lu (0.250, 0.250, 0.250)
Lu (0.250, 0.750, 0.750)
Lu (0.750, 0.250, 0.750)
Lu (0.750, 0.750, 0.250)
Pu (0.000, 0.000, 0.500)
Pu (0.000, 0.500, 0.000)
Pu (0.500, 0.000, 0.000)
Pu (0.500, 0.500, 0.500)
Hf (0.250, 0.250, 0.750)
Hf (0.250, 0.750, 0.250)
Hf (0.750, 0.250, 0.250)
Hf (0.750, 0.750, 0.750)

=====

Computed, not measured: a relaxed CeLuHfSc crystal at the PBE level of DFT.

Output
formation energy	222	meV/atom
theoretical density	8.6	g cm⁻³
space group	F-43m (216)

Lattice parameters (Å, degrees): 7.464 7.464 7.464 90.00 90.00 90.00
Fractional coordinates of all 16 atoms:
Ce (0.000, 0.000, 0.000)
Ce (0.000, 0.500, 0.500)
Ce (0.500, 0.000, 0.500)
Ce (0.500, 0.500, 0.000)
Lu (0.250, 0.250, 0.750)
Lu (0.250, 0.750, 0.250)
Lu (0.750, 0.250, 0.250)
Lu (0.750, 0.750, 0.750)
Hf (0.250, 0.250, 0.250)
Hf (0.250, 0.750, 0.750)
Hf (0.750, 0.250, 0.750)
Hf (0.750, 0.750, 0.250)
Sc (0.000, 0.000, 0.500)
Sc (0.000, 0.500, 0.000)
Sc (0.500, 0.000, 0.000)
Sc (0.500, 0.500, 0.500)

=====

Computed, not measured: a relaxed CeSmLuHf crystal at the PBE level of DFT.

Output
formation energy	240	meV/atom
theoretical density	9.5	g cm⁻³
space group	F-43m (216)

Lattice parameters (Å, degrees): 7.666 7.666 7.666 90.00 90.00 90.00
Fractional coordinates of all 16 atoms:
Ce (0.000, 0.000, 0.000)
Ce (0.000, 0.500, 0.500)
Ce (0.500, 0.000, 0.500)
Ce (0.500, 0.500, 0.000)
Sm (0.000, 0.000, 0.500)
Sm (0.000, 0.500, 0.000)
Sm (0.500, 0.000, 0.000)
Sm (0.500, 0.500, 0.500)
Lu (0.250, 0.250, 0.750)
Lu (0.250, 0.750, 0.250)
Lu (0.750, 0.250, 0.250)
Lu (0.750, 0.750, 0.750)
Hf (0.250, 0.250, 0.250)
Hf (0.250, 0.750, 0.750)
Hf (0.750, 0.250, 0.750)
Hf (0.750, 0.750, 0.250)

=====

Computed, not measured: a relaxed CeTmLuHf crystal at the PBE level of DFT.

Output
formation energy	232	meV/atom
theoretical density	10.0	g cm⁻³
space group	F-43m (216)

Lattice parameters (Å, degrees): 7.595 7.595 7.595 90.00 90.00 90.00
Fractional coordinates of all 16 atoms:
Ce (0.000, 0.000, 0.000)
Ce (0.000, 0.500, 0.500)
Ce (0.500, 0.000, 0.500)
Ce (0.500, 0.500, 0.000)
Tm (0.000, 0.000, 0.500)
Tm (0.000, 0.500, 0.000)
Tm (0.500, 0.000, 0.000)
Tm (0.500, 0.500, 0.500)
Lu (0.250, 0.250, 0.250)
Lu (0.250, 0.750, 0.750)
Lu (0.750, 0.250, 0.750)
Lu (0.750, 0.750, 0.250)
Hf (0.250, 0.250, 0.750)
Hf (0.250, 0.750, 0.250)
Hf (0.750, 0.250, 0.250)
Hf (0.750, 0.750, 0.750)

=====

Computed, not measured: a relaxed CeHfMg2 crystal at the PBE level of DFT.

Output
formation energy	262	meV/atom
theoretical density	6.3	g cm⁻³
space group	R-3m (166)
E above lowest polymorph	0.1546	eV/atom

Lattice parameters (Å, degrees): 3.043 3.043 36.165 90.00 90.00 120.00
Fractional coordinates of all 12 atoms:
Ce (0.000, 0.000, 0.000)
Ce (0.333, 0.667, 0.667)
Ce (0.667, 0.333, 0.333)
Hf (0.000, 0.000, 0.500)
Hf (0.333, 0.667, 0.167)
Hf (0.667, 0.333, 0.833)
Mg (0.000, 0.000, 0.416)
Mg (0.000, 0.000, 0.584)
Mg (0.333, 0.667, 0.082)
Mg (0.333, 0.667, 0.251)
Mg (0.667, 0.333, 0.749)
Mg (0.667, 0.333, 0.918)

=====

Computed, not measured: a relaxed CeHfMg2 crystal at the PBE level of DFT.

Output
formation energy	107	meV/atom
theoretical density	6.4	g cm⁻³
space group	P4/mmm (123)
E above lowest polymorph	0.0000	eV/atom

Lattice parameters (Å, degrees): 3.120 3.120 9.714 90.00 90.00 90.00
Fractional coordinates of all 4 atoms:
Ce (0.000, 0.000, 0.000)
Hf (0.000, 0.000, 0.500)
Mg (0.500, 0.500, 0.270)
Mg (0.500, 0.500, 0.730)

=====

Computed, not measured: a relaxed CeHfMg6 crystal at the PBE level of DFT.

Output
formation energy	139	meV/atom
theoretical density	4.1	g cm⁻³
space group	Amm2 (38)

Lattice parameters (Å, degrees): 5.195 6.120 11.973 90.00 90.00 90.00
Fractional coordinates of all 16 atoms:
Ce (0.000, 0.000, 0.000)
Ce (0.000, 0.500, 0.500)
Hf (0.000, 0.000, 0.489)
Hf (0.000, 0.500, 0.989)
Mg (0.000, 0.247, 0.747)
Mg (0.000, 0.253, 0.247)
Mg (0.000, 0.747, 0.247)
Mg (0.000, 0.753, 0.747)
Mg (0.500, 0.000, 0.162)
Mg (0.500, 0.000, 0.640)
Mg (0.500, 0.246, 0.399)
Mg (0.500, 0.254, 0.899)
Mg (0.500, 0.500, 0.140)
Mg (0.500, 0.500, 0.662)
Mg (0.500, 0.746, 0.899)
Mg (0.500, 0.754, 0.399)

=====

Computed, not measured: a relaxed Ce2HfMgN4 crystal at the PBE level of DFT.

Output
raw formation energy	-1372	meV/atom
theoretical density	8.2	g cm⁻³
space group	P2/m (10)

Lattice parameters (Å, degrees): 5.836 3.375 5.876 90.00 109.45 90.00
Fractional coordinates of all 8 atoms:
Ce (0.000, 0.000, 0.000)
Ce (0.500, 0.500, 0.000)
Hf (0.000, 0.500, 0.500)
Mg (0.500, 0.000, 0.500)
N (0.233, 0.000, 0.723)
N (0.243, 0.500, 0.268)
N (0.757, 0.500, 0.732)
N (0.767, 0.000, 0.277)

=====

Computed, not measured: a relaxed Ce2HfMgP4 crystal at the PBE level of DFT.

Output
formation energy	-1193	meV/atom
theoretical density	5.9	g cm⁻³
space group	P2/m (10)

Lattice parameters (Å, degrees): 6.652 3.939 6.896 90.00 110.33 90.00
Fractional coordinates of all 8 atoms:
Ce (0.000, 0.000, 0.000)
Ce (0.000, 0.500, 0.500)
Hf (0.500, 0.000, 0.500)
Mg (0.500, 0.500, 0.000)
P (0.270, 0.000, 0.750)
P (0.270, 0.500, 0.263)
P (0.730, 0.000, 0.250)
P (0.730, 0.500, 0.737)

=====

Computed, not measured: a relaxed CeHfMgSc crystal at the PBE level of DFT.

Output
formation energy	145	meV/atom
theoretical density	6.6	g cm⁻³
space group	F-43m (216)

Lattice parameters (Å, degrees): 7.291 7.291 7.291 90.00 90.00 90.00
Fractional coordinates of all 16 atoms:
Ce (0.000, 0.000, 0.000)
Ce (0.000, 0.500, 0.500)
Ce (0.500, 0.000, 0.500)
Ce (0.500, 0.500, 0.000)
Hf (0.250, 0.250, 0.250)
Hf (0.250, 0.750, 0.750)
Hf (0.750, 0.250, 0.750)
Hf (0.750, 0.750, 0.250)
Mg (0.250, 0.250, 0.750)
Mg (0.250, 0.750, 0.250)
Mg (0.750, 0.250, 0.250)
Mg (0.750, 0.750, 0.750)
Sc (0.000, 0.000, 0.500)
Sc (0.000, 0.500, 0.000)
Sc (0.500, 0.000, 0.000)
Sc (0.500, 0.500, 0.500)

=====

Computed, not measured: a relaxed CeHfMgTc crystal at the PBE level of DFT.

Output
formation energy	39	meV/atom
theoretical density	8.7	g cm⁻³
space group	F-43m (216)

Lattice parameters (Å, degrees): 6.945 6.945 6.945 90.00 90.00 90.00
Fractional coordinates of all 16 atoms:
Ce (0.000, 0.000, 0.000)
Ce (0.000, 0.500, 0.500)
Ce (0.500, 0.000, 0.500)
Ce (0.500, 0.500, 0.000)
Hf (0.000, 0.000, 0.500)
Hf (0.000, 0.500, 0.000)
Hf (0.500, 0.000, 0.000)
Hf (0.500, 0.500, 0.500)
Mg (0.250, 0.250, 0.750)
Mg (0.250, 0.750, 0.250)
Mg (0.750, 0.250, 0.250)
Mg (0.750, 0.750, 0.750)
Tc (0.250, 0.250, 0.250)
Tc (0.250, 0.750, 0.750)
Tc (0.750, 0.250, 0.750)
Tc (0.750, 0.750, 0.250)

=====

Computed, not measured: a relaxed CeHf2Mn crystal at the PBE level of DFT.

Output
formation energy	-12	meV/atom
theoretical density	11.2	g cm⁻³
space group	P4/mmm (123)

Lattice parameters (Å, degrees): 3.174 3.174 8.127 90.00 90.00 90.00
Fractional coordinates of all 4 atoms:
Ce (0.000, 0.000, 0.000)
Hf (0.500, 0.500, 0.314)
Hf (0.500, 0.500, 0.686)
Mn (0.000, 0.000, 0.500)